{"formula": "CaLaTeAs", "functional": "PBE", "state": "optimized geometry", "lattice_angstrom": [[2.226, 1.285, 7.290], [-2.226, 1.285, 7.290], [0.000, -2.570, 7.290]], "species": ["Ca", "La", "Te", "As"], "frac_coords": [[0.000, 0.000, 0.000], [0.482, 0.482, 0.482], [0.244, 0.244, 0.244], [0.744, 0.744, 0.744]], "volume_a3_per_cell": 125.1, "energy_ev_per_fu": -20.98, "formation_energy_uncorrected_ev_per_atom": -1.56, "space_group": "R3m"}